This record from Alexandria describes a geometry-optimized Tb3Cd2Au6 structure. The functional is GGA-PBE.

volume	22.65	Å³ per atom
formation enthalpy at 0 K	-0.499	eV per atom
final energy	-40.88	eV/f.u.
space group	I4/mmm

Cell lengths 14.3340, 14.3340, 14.3340 Å; angles 163.09, 163.09, 24.01 degrees
Last column: nearest neighbours and their distance in Å.
Fractional positions:
Tb 0.0000 0.0000 0.0000  8 Cd 3.29
Tb 0.2024 0.2024 0.0000  9 Au 2.99-3.19
Tb 0.7976 0.7976 0.0000  9 Au 2.99-3.19
Cd 0.4500 0.4500 0.0000  1 Cd 2.80, 4 Au 2.82
Cd 0.5500 0.5500 0.0000  1 Cd 2.80, 4 Au 2.82
Au 0.1168 0.6168 0.5000  2 Cd 2.82, 6 Au 2.96-2.98
Au 0.3091 0.3091 0.0000  4 Au 2.96, 5 Tb 2.99-3.00
Au 0.3832 0.8832 0.5000  2 Cd 2.82, 6 Au 2.96-2.98
Au 0.6168 0.1168 0.5000  2 Cd 2.82, 6 Au 2.96-2.98
Au 0.6909 0.6909 0.0000  4 Au 2.96, 5 Tb 2.99-3.00
Au 0.8832 0.3832 0.5000  2 Cd 2.82, 6 Au 2.96-2.98